(1)
ScInNiHg (PBE, optimized geometry); spin magnetization = 0.000 μB per atom; offset from the most stable computed form = 0 meV per atom; VASP energy = -3.97 eV per atom
1.0
0.0000 3.3429 3.3429
3.3429 0.0000 3.3429
3.3429 3.3429 0.0000
Sc In Ni Hg
1 1 1 1
Direct
0.0000 0.0000 0.0000
0.5000 0.5000 0.5000
0.7500 0.7500 0.7500
0.2500 0.2500 0.2500

(2)
GaHg (PBE, optimized geometry); VASP energy = -1.57 eV per atom
1.0
5.6739 0.0000 0.0000
-0.9724 5.7168 0.0000
-0.8254 -1.4143 5.6598
Ga Hg
4 4
Direct
0.2083 0.2981 0.1274
0.2479 0.8416 0.5676
0.7521 0.1584 0.4324
0.7917 0.7019 0.8726
0.2629 0.3556 0.6341
0.2974 0.8087 0.0778
0.7026 0.1913 0.9222
0.7371 0.6444 0.3659

(3)
Dy2Y2Lu3Ni2Te2 (PBE, optimized geometry); spin magnetization = 0.001 μB per atom; offset from the most stable computed form = 0 meV per atom; VASP energy = -5.51 eV per atom
1.0
-1.9172 7.7385 4.7661
1.9172 -7.7385 4.7661
1.9172 7.7385 -4.7661
Dy Y Lu Ni Te
2 2 3 2 2
Direct
0.1330 0.0000 0.1330
0.8670 0.0000 0.8670
0.2060 0.8525 0.3535
0.4990 0.8525 0.6465
0.5177 0.2022 0.3155
0.5827 0.5827 0.0000
0.8866 0.2022 0.6845
0.2766 0.5144 0.7622
0.7522 0.5144 0.2378
0.2471 0.2471 0.0000
0.8442 0.3442 0.5000

(4)
Sm2HoAl7Ag2 (PBE, optimized geometry); spin magnetization = 0.000 μB per atom; VASP energy = -4.27 eV per atom
1.0
2.7961 1.6143 8.8202
-2.7961 1.6143 8.8202
0.0000 -3.2287 8.8202
Sm Ho Al Ag
2 1 7 2
Direct
0.1418 0.1418 0.1418
0.8582 0.8582 0.8582
0.0000 0.0000 0.0000
0.0750 0.5871 0.5871
0.4129 0.4129 0.9250
0.4129 0.9250 0.4129
0.5000 0.5000 0.5000
0.5871 0.0750 0.5871
0.5871 0.5871 0.0750
0.9250 0.4129 0.4129
0.3359 0.3359 0.3359
0.6641 0.6641 0.6641

(5)
CsReSi (PBE, optimized geometry); spin magnetization = 0.585 μB per atom; offset from the most stable computed form = 435 meV per atom; VASP energy = -4.10 eV per atom
1.0
0.0000 3.4037 3.4037
3.4037 0.0000 3.4037
3.4037 3.4037 0.0000
Cs Re Si
1 1 1
Direct
0.0000 0.0000 0.0000
0.5000 0.5000 0.5000
0.2500 0.2500 0.2500

(6)
NdN (PBE, optimized geometry); spin magnetization = 0.002 μB per atom; VASP energy = -7.12 eV per atom
1.0
3.1124 0.0000 0.0000
0.0000 3.1124 0.0000
0.0000 0.0000 3.1124
Nd N
1 1
Direct
0.0000 0.0000 0.0000
0.5000 0.5000 0.5000

- The lowest VASP energy belongs to which entry?
  NdN

- Which of these has the highest VASP energy?
  GaHg

Copy entry 2 word for word.
GaHg (PBE, optimized geometry); VASP energy = -1.57 eV per atom
1.0
5.6739 0.0000 0.0000
-0.9724 5.7168 0.0000
-0.8254 -1.4143 5.6598
Ga Hg
4 4
Direct
0.2083 0.2981 0.1274
0.2479 0.8416 0.5676
0.7521 0.1584 0.4324
0.7917 0.7019 0.8726
0.2629 0.3556 0.6341
0.2974 0.8087 0.0778
0.7026 0.1913 0.9222
0.7371 0.6444 0.3659